# 1
Compound: Sm3TlCd2
Source: Alexandria via LeMat-Bulk
Functional: PBE
Structure: optimized geometry

The space group is P4/mmm (No. 123) and the conventional cell measures 3.7935, 3.7935 and 11.7546 Å, with angles of 90.00, 90.00 and 90.00 degrees. The distinct sites, in fractional coordinates, are Sm at (0.0000, 0.0000, 0.0000), Sm at (0.0000, 0.0000, 0.3272), Tl at (0.5000, 0.5000, 0.5000) and Cd at (0.5000, 0.5000, 0.1611).

Its final energy is -0.125 Ha/atom. The relative energy among the computed polymorphs is 0.004 eV per atom. The total moment is 0.91 μB/f.u. The value obtained for the density of states at the Fermi level is 8.30 states/eV/cell. Its formation energy is -1.995 eV/f.u.

# 2
Compound: SmTlCd2
Source: Alexandria via LeMat-Bulk
Functional: PBE
Structure: optimized geometry

The space group is P4/mmm (No. 123) and the conventional cell measures 3.9258, 3.9258 and 6.9689 Å, with angles of 90.00, 90.00 and 90.00 degrees. The distinct sites, in fractional coordinates, are Sm at (0.0000, 0.0000, 0.0000), Tl at (0.0000, 0.0000, 0.5000) and Cd at (0.5000, 0.5000, 0.2543).

Its final energy is -0.088 Ha/atom. The relative energy among the computed polymorphs is 0.117 eV per atom. The total moment is 0.36 μB/f.u. The value obtained for the density of states at the Fermi level is 2.55 states/eV/cell. Its formation energy is -0.663 eV/f.u.

# 3
Compound: Sm3Tl2Cd
Source: Alexandria via LeMat-Bulk
Functional: PBE
Structure: optimized geometry

The space group is P-3m1 (No. 164) and the conventional cell measures 5.4428, 5.4428 and 13.3273 Å, with angles of 90.00, 90.00 and 120.00 degrees. The distinct sites, in fractional coordinates, are Sm at (0.0000, 0.0000, 0.2485), Sm at (0.3333, 0.6667, 0.4163), Sm at (0.3333, 0.6667, 0.9182), Tl at (0.0000, 0.0000, 0.0000), Tl at (0.0000, 0.0000, 0.5000), Tl at (0.3333, 0.6667, 0.6720) and Cd at (0.3333, 0.6667, 0.1680).

Its final energy is -0.135 Ha/atom. The relative energy among the computed polymorphs is 0.000 eV per atom. The total moment is 0.00 μB/f.u. The value obtained for the density of states at the Fermi level is 14.44 states/eV/cell. Its formation energy is -2.182 eV/f.u.